VASP calculation (PBE-GGA) on a relaxed structure of CaTcAg2.

DFT total energy in eV per atom: -4.101
DFT formation energy in eV/atom: 0.42
ΔE to the lowest computed polymorph in meV/atom: 24

Cell: 2.849 4.316 6.240 Å, 90.00 90.00 90.00°
Sites, in units of the cell vectors:
Ca 0.000 0.000 0.000
Tc 0.000 0.000 0.500
Ag 0.500 0.500 0.280
Ag 0.500 0.500 0.720

VASP calculation (PBE-GGA) on a relaxed structure of CaTcAg2.

DFT total energy in eV per atom: -3.749
DFT formation energy in eV/atom: 0.77
ΔE to the lowest computed polymorph in meV/atom: 376

Cell: 10.484 10.484 10.484 Å, 157.10 157.10 32.61°
Sites, in units of the cell vectors:
Ca 0.000 0.000 0.000
Ca 0.750 0.250 0.500
Tc 0.250 0.750 0.500
Tc 0.500 0.500 0.000
Ag 0.147 0.625 0.022
Ag 0.375 0.397 0.522
Ag 0.603 0.125 0.978
Ag 0.875 0.853 0.478

VASP calculation (PBE-GGA) on a relaxed structure of CaTcAg2.

DFT total energy in eV per atom: -4.008
DFT formation energy in eV/atom: 0.51
ΔE to the lowest computed polymorph in meV/atom: 118

Cell: 4.819 4.819 4.819 Å, 60.00 60.00 60.00°
Sites, in units of the cell vectors:
Ca 0.000 0.000 0.000
Tc 0.250 0.250 0.250
Ag 0.500 0.500 0.500
Ag 0.750 0.750 0.750

VASP calculation (PBE-GGA) on a relaxed structure of CaTcAg2.

DFT total energy in eV per atom: -4.125
DFT formation energy in eV/atom: 0.39
ΔE to the lowest computed polymorph in meV/atom: 0

Cell: 5.289 5.289 2.854 Å, 90.00 90.00 111.26°
Sites, in units of the cell vectors:
Ca 0.000 0.000 0.000
Tc 0.500 0.500 0.000
Ag 0.000 0.500 0.500
Ag 0.500 0.000 0.500

VASP calculation (PBE-GGA) on a relaxed structure of CaTc2Ag.

DFT total energy in eV per atom: -5.821
DFT formation energy in eV/atom: 0.58
ΔE to the lowest computed polymorph in meV/atom: 371

Cell: 5.693 5.693 2.701 Å, 98.86 98.86 122.45°
Sites, in units of the cell vectors:
Ca 0.000 0.000 0.000
Tc 0.000 0.500 0.500
Tc 0.500 0.000 0.500
Ag 0.500 0.500 0.000

VASP calculation (PBE-GGA) on a relaxed structure of CaTc2Ag.

DFT total energy in eV per atom: -5.781
DFT formation energy in eV/atom: 0.62
ΔE to the lowest computed polymorph in meV/atom: 411

Cell: 5.555 5.555 2.631 Å, 90.00 90.00 120.37°
Sites, in units of the cell vectors:
Ca 0.000 0.000 0.000
Tc 0.000 0.500 0.500
Tc 0.500 0.000 0.500
Ag 0.500 0.500 0.000

VASP calculation (PBE-GGA) on a relaxed structure of CaTc4Ag.

DFT total energy in eV per atom: -7.292
DFT formation energy in eV/atom: 0.43

Cell: 5.287 5.287 5.287 Å, 60.00 60.00 60.00°
Sites, in units of the cell vectors:
Ca 0.000 0.000 0.000
Tc 0.127 0.624 0.624
Tc 0.624 0.127 0.624
Tc 0.624 0.624 0.127
Tc 0.624 0.624 0.624
Ag 0.250 0.250 0.250

VASP calculation (PBE-GGA) on a relaxed structure of CaTc2Ag.

DFT total energy in eV per atom: -5.351
DFT formation energy in eV/atom: 1.05
ΔE to the lowest computed polymorph in meV/atom: 841

Cell: 6.175 6.175 6.175 Å, 99.63 99.63 131.71°
Sites, in units of the cell vectors:
Ca 0.000 0.000 0.000
Ca 0.750 0.250 0.500
Tc 0.160 0.625 0.035
Tc 0.375 0.410 0.535
Tc 0.590 0.125 0.965
Tc 0.875 0.840 0.465
Ag 0.250 0.750 0.500
Ag 0.500 0.500 0.000

VASP calculation (PBE-GGA) on a relaxed structure of CaTc2Ag.

DFT total energy in eV per atom: -5.935
DFT formation energy in eV/atom: 0.46
ΔE to the lowest computed polymorph in meV/atom: 256

Cell: 9.810 9.810 9.810 Å, 17.12 17.12 17.12°
Sites, in units of the cell vectors:
Ca 0.000 0.000 0.000
Tc 0.490 0.490 0.490
Tc 0.755 0.755 0.755
Ag 0.242 0.242 0.242

VASP calculation (PBE-GGA) on a relaxed structure of CaTcAg2.

DFT total energy in eV per atom: -4.113
DFT formation energy in eV/atom: 0.40
ΔE to the lowest computed polymorph in meV/atom: 12

Cell: 2.867 2.867 9.168 Å, 90.00 90.00 90.42°
Sites, in units of the cell vectors:
Ca 0.000 0.000 0.000
Tc 0.500 0.500 0.743
Ag 0.000 0.000 0.516
Ag 0.500 0.500 0.276

VASP calculation (PBE-GGA) on a relaxed structure of Ca2TcAg.

DFT total energy in eV per atom: -3.936
DFT formation energy in eV/atom: 0.37
ΔE to the lowest computed polymorph in meV/atom: 37

Cell: 3.096 5.351 5.453 Å, 90.00 90.00 90.00°
Sites, in units of the cell vectors:
Ca 0.000 0.000 0.000
Ca 0.000 0.500 0.431
Tc 0.500 0.500 0.922
Ag 0.500 0.000 0.520

VASP calculation (PBE-GGA) on a relaxed structure of Ca2TcAg.

DFT total energy in eV per atom: -3.864
DFT formation energy in eV/atom: 0.44
ΔE to the lowest computed polymorph in meV/atom: 109

Cell: 5.117 5.117 5.117 Å, 60.00 60.00 60.00°
Sites, in units of the cell vectors:
Ca 0.250 0.250 0.250
Ca 0.750 0.750 0.750
Tc 0.000 0.000 0.000
Ag 0.500 0.500 0.500